This record from OQMD via LeMat-Bulk describes a relaxed structure of PrGeAuO3. The functional is GGA-PBE.

Cell: 4.010 5.115 9.645 Å, 90.00 90.00 66.93°
Atoms (fractional coordinates):
O 0.359 0.282 0.075
O 0.641 0.718 0.575
O 0.641 0.718 0.925
O 0.912 0.175 0.250
O 0.359 0.282 0.425
O 0.088 0.825 0.750
Ge 0.575 0.851 0.750
Ge 0.425 0.149 0.250
Au 0.676 0.647 0.250
Au 0.324 0.353 0.750
Pr 0.000 0.000 0.000
Pr 0.000 0.000 0.500

Summary:
The value obtained for the total energy is -75.230 eV for the cell shown.